(w)
NbCd2Cu | PBE | optimized geometry

```
NbCd2Cu
1.0
-1.472 0.605 7.325
-7.062 -2.184 -1.239
-3.512 -3.442 3.414
Cd Nb Cu
4 2 2
direct
0.157 0.625 0.250 Cd
0.875 0.843 0.750 Cd
0.593 0.125 0.250 Cd
0.375 0.407 0.750 Cd
0.000 0.000 0.000 Nb
0.750 0.250 0.500 Nb
0.500 0.500 0.000 Cu
0.250 0.750 0.500 Cu
```

Properties
space group: No. 122
ρ: 8.101 g/cm³
D(E_F): 5.65 states/eV per cell

---

(x)
NbCd2Cu | PBE | optimized geometry

```
NbCd2Cu
1.0
-1.629 -0.072 -2.386
-2.853 -0.411 0.210
-2.941 10.222 -0.052
Cd Cu Nb
2 1 1
direct
0.094 0.094 0.717 Cd
0.906 0.906 0.283 Cd
0.500 0.500 0.500 Cu
0.000 0.000 0.000 Nb
```

Properties
space group: No. 166
ρ: 8.333 g/cm³
D(E_F): 1.63 states/eV per cell

---

Short version: (w) is the least stable of them.

---

(w)
NbCd2Cu | PBE | optimized geometry

```
NbCd2Cu
1.0
2.404 -0.725 3.950
-0.562 2.882 3.645
-2.211 -1.494 3.845
Cd Cu Nb
2 1 1
direct
0.250 0.250 0.250 Cd
0.750 0.750 0.750 Cd
0.000 0.000 0.000 Cu
0.500 0.500 0.500 Nb
```

Properties
space group: No. 225
ρ: 8.732 g/cm³
D(E_F): 2.64 states/eV per cell

---

(x)
NbCd2Cu | PBE | optimized geometry

```
NbCd2Cu
1.0
2.958 0.000 0.000
0.000 2.958 0.000
0.000 0.000 8.125
Cu Nb Cd
1 1 2
direct
0.500 0.500 0.000 Cu
0.500 0.500 0.500 Nb
0.000 0.000 0.773 Cd
0.000 0.000 0.227 Cd
```

Properties
space group: No. 123
ρ: 8.907 g/cm³
D(E_F): 1.66 states/eV per cell

---

Short version: (w) is the least stable of them.

---

(w)
Nb3CdCu | PBE | optimized geometry

```
Nb3CdCu
1.0
4.701 0.000 0.000
0.000 4.701 0.000
0.000 0.000 4.701
Nb Cd Cu
3 1 1
direct
0.000 0.000 0.500 Nb
0.500 0.000 0.000 Nb
0.000 0.500 0.000 Nb
0.500 0.500 0.500 Cd
0.000 0.000 0.000 Cu
```

Properties
space group: No. 221
ρ: 7.267 g/cm³
D(E_F): 5.05 states/eV per cell

---

(x)
Nb3CdCu | PBE | optimized geometry

```
Nb3CdCu
1.0
4.990 0.000 0.000
0.000 4.990 0.000
0.000 0.000 4.990
Nb Cu Cd
3 1 1
direct
0.000 0.500 0.000 Nb
0.500 0.000 0.000 Nb
0.000 0.000 0.500 Nb
0.500 0.500 0.500 Cu
0.000 0.000 0.000 Cd
```

Properties
space group: No. 221
ρ: 6.076 g/cm³
D(E_F): 5.18 states/eV per cell

---

Short version: (x) is the least stable of them.

---

(w)
SrNbCdCu2 | PBE | optimized geometry

```
SrNbCdCu2
1.0
4.899 0.000 0.000
0.000 5.653 0.000
0.000 0.000 4.899
Nb Cd Cu Sr
1 1 2 1
direct
0.500 0.500 0.500 Nb
0.000 0.000 0.000 Cd
0.500 0.000 0.000 Cu
0.000 0.000 0.500 Cu
0.000 0.500 0.000 Sr
```

Properties
space group: No. 123
ρ: 5.140 g/cm³
D(E_F): 3.77 states/eV per cell

---

(x)
SrNbCdCu2 | PBE | optimized geometry

```
SrNbCdCu2
1.0
-2.415 -4.176 -0.523
3.371 -1.450 -3.989
2.934 -2.103 3.244
Cu Nb Sr Cd
2 1 1 1
direct
0.500 0.000 0.000 Cu
0.000 0.000 0.500 Cu
0.500 0.500 0.500 Nb
0.000 0.000 0.000 Sr
0.000 0.500 0.000 Cd
```

Properties
space group: No. 123
ρ: 5.464 g/cm³
D(E_F): 5.72 states/eV per cell

---

Short version: (x) is the least stable of them.

---

(w)
Cd3CuNi | PBE | optimized geometry

```
Cd3CuNi
1.0
-0.794 -0.150 -4.800
1.751 -4.539 -0.148
-4.472 -1.751 0.794
Cd Ni Cu
3 1 1
direct
0.500 0.000 0.000 Cd
0.000 0.000 0.500 Cd
0.000 0.500 0.000 Cd
0.500 0.500 0.500 Ni
0.000 0.000 0.000 Cu
```

Properties
space group: No. 221
ρ: 6.616 g/cm³
D(E_F): 4.03 states/eV per cell

---

(x)
Cd3CuNi | PBE | optimized geometry

```
Cd3CuNi
1.0
4.897 0.000 0.000
0.000 4.897 0.000
0.000 0.000 4.897
Cu Cd Ni
1 3 1
direct
0.500 0.500 0.500 Cu
0.500 0.000 0.000 Cd
0.000 0.000 0.500 Cd
0.000 0.500 0.000 Cd
0.000 0.000 0.000 Ni
```

Properties
space group: No. 221
ρ: 6.496 g/cm³
D(E_F): 2.44 states/eV per cell

---

Short version: (w) is the least stable of them.

---

(w)
Cd4CuNi | PBE | optimized geometry

```
Cd4CuNi
1.0
-4.500 2.776 0.103
2.386 -0.975 -4.618
-1.342 -4.775 1.836
Cd Cu Ni
4 1 1
direct
0.920 0.420 0.840 Cd
0.580 0.080 0.160 Cd
0.080 0.920 0.500 Cd
0.420 0.580 0.500 Cd
0.500 0.500 0.000 Cu
0.000 0.000 0.000 Ni
```

Properties
space group: No. 97
ρ: 8.553 g/cm³
D(E_F): 3.32 states/eV per cell

---

(x)
Cd4CuNi | PBE | optimized geometry

```
Cd4CuNi
1.0
0.000 3.904 3.904
3.904 0.000 3.904
3.904 3.904 0.000
Cd Cu Ni
4 1 1
direct
0.375 0.375 0.375 Cd
0.875 0.375 0.375 Cd
0.375 0.875 0.375 Cd
0.375 0.375 0.875 Cd
0.750 0.750 0.750 Cu
0.000 0.000 0.000 Ni
```

Properties
space group: No. 216
ρ: 7.981 g/cm³
D(E_F): 2.38 states/eV per cell

---

Short version: (x) is the least stable of them.